1.
Below is LuPuIn after structural relaxation, with properties calculated at the GGA-PBE level.

Lattice parameters (Å, degrees): 3.310 5.274 5.274 120.00 90.00 90.00
Fractional positions:
Lu 0.721 0.333 0.667
In 0.969 0.000 0.000
Pu 0.310 0.667 0.333

Summary:
total DFT energy (no corrections): -7.29 eV/atom
polymorph energy (0 for the lowest one): 0 meV per atom
DFT formation energy: -88 meV/atom

***

2.
Below is LuPu2In after structural relaxation, with properties calculated at the GGA-PBE level.

Lattice parameters (Å, degrees): 4.122 4.122 6.408 90.00 90.00 90.00
Fractional positions:
Lu 0.500 0.500 0.500
In 0.500 0.500 0.000
Pu 0.000 0.000 0.763
Pu 0.000 0.000 0.237

Summary:
total DFT energy (no corrections): -8.94 eV/atom
polymorph energy (0 for the lowest one): 158 meV per atom
DFT formation energy: 41 meV/atom

***

3.
Below is LuPuIn after structural relaxation, with properties calculated at the GGA-PBE level.

Lattice parameters (Å, degrees): 3.129 3.129 9.070 99.93 99.93 90.00
Fractional positions:
Lu 0.131 0.131 0.263
In 0.769 0.769 0.538
Pu 0.950 0.950 0.899

Summary:
total DFT energy (no corrections): -6.86 eV/atom
polymorph energy (0 for the lowest one): 422 meV per atom
DFT formation energy: 333 meV/atom

***

4.
Below is LuPuInRh after structural relaxation, with properties calculated at the GGA-PBE level.

Lattice parameters (Å, degrees): 5.058 5.058 5.058 60.00 60.00 60.00
Fractional positions:
Rh 0.000 0.000 0.000
Lu 0.750 0.750 0.750
In 0.500 0.500 0.500
Pu 0.250 0.250 0.250

Summary:
total DFT energy (no corrections): -7.57 eV/atom
DFT formation energy: -330 meV/atom

***

5.
Below is LuPuScIn after structural relaxation, with properties calculated at the GGA-PBE level.

Lattice parameters (Å, degrees): 5.277 5.277 5.277 60.00 60.00 60.00
Fractional positions:
Sc 0.500 0.500 0.500
Lu 0.750 0.750 0.750
In 0.000 0.000 0.000
Pu 0.250 0.250 0.250

Summary:
total DFT energy (no corrections): -7.02 eV/atom
DFT formation energy: -39 meV/atom

***

6.
Below is SmLuPuIn after structural relaxation, with properties calculated at the GGA-PBE level.

Lattice parameters (Å, degrees): 5.428 5.428 5.428 60.00 60.00 60.00
Fractional positions:
Lu 0.500 0.500 0.500
In 0.000 0.000 0.000
Sm 0.250 0.250 0.250
Pu 0.750 0.750 0.750

Summary:
total DFT energy (no corrections): -6.62 eV/atom
DFT formation energy: -39 meV/atom

***

7.
Below is LuPuThIn after structural relaxation, with properties calculated at the GGA-PBE level.

Lattice parameters (Å, degrees): 5.370 5.370 5.370 60.00 60.00 60.00
Fractional positions:
Lu 0.000 0.000 0.000
In 0.250 0.250 0.250
Th 0.750 0.750 0.750
Pu 0.500 0.500 0.500

Summary:
total DFT energy (no corrections): -7.19 eV/atom
DFT formation energy: 59 meV/atom

***

8.
Below is LuPuTlIn after structural relaxation, with properties calculated at the GGA-PBE level.

Lattice parameters (Å, degrees): 5.329 5.329 5.329 60.00 60.00 60.00
Fractional positions:
Tl 0.000 0.000 0.000
Lu 0.750 0.750 0.750
In 0.500 0.500 0.500
Pu 0.250 0.250 0.250

Summary:
total DFT energy (no corrections): -6.17 eV/atom
DFT formation energy: -179 meV/atom